(1)
{"formula": "LiTeRh2", "functional": "PBE", "state": "optimized geometry", "m_tot_mub_per_fu": 0.00, "raw_formation_energy_ev_per_atom": -0.23, "lattice_angstrom": [[3.100, 0.000, 0.000], [0.000, 4.907, 0.005], [0.000, 3.148, 4.171]], "species": ["Li", "Te", "Rh", "Rh"], "frac_coords": [[0.000, 0.000, 0.500], [0.500, 0.500, 0.500], [0.500, 0.500, 0.000], [0.000, 0.000, 0.000]]}

(2)
{"formula": "LiLa2Re", "functional": "PBE", "state": "optimized geometry", "m_tot_mub_per_fu": 0.00, "ef_mev_per_atom": 476, "lattice_angstrom": [[4.996, 0.000, 0.000], [2.498, 4.326, 0.000], [2.498, 1.442, 4.079]], "species": ["La", "Re", "La", "Li"], "frac_coords": [[0.000, 0.000, 0.000], [0.750, 0.750, 0.750], [0.250, 0.250, 0.250], [0.500, 0.500, 0.500]]}

(3)
{"formula": "LaPd5", "functional": "PBE", "state": "optimized geometry", "m_tot_mub_per_fu": 0.00, "ef_mev_per_atom": -568, "lattice_angstrom": [[5.392, 0.000, 0.000], [-2.696, 4.670, 0.000], [0.000, 0.000, 4.505]], "species": ["Pd", "Pd", "La", "Pd", "Pd", "Pd"], "frac_coords": [[0.667, 0.333, 0.000], [0.500, 0.500, 0.500], [0.000, 0.000, 0.000], [0.333, 0.667, 0.000], [0.000, 0.500, 0.500], [0.500, 0.000, 0.500]]}

(4)
{"formula": "Be2TlAs", "functional": "PBE", "state": "optimized geometry", "m_tot_mub_per_fu": 0.00, "ef_mev_per_atom": 953, "e_above_lowest_polymorph_ev_per_fu": 3.00, "lattice_angstrom": [[4.683, 0.000, 0.000], [2.342, 4.056, 0.000], [2.342, 1.352, 3.824]], "species": ["Tl", "Be", "Be", "As"], "frac_coords": [[0.750, 0.750, 0.750], [0.000, 0.000, 0.000], [0.250, 0.250, 0.250], [0.500, 0.500, 0.500]]}